Compound: Ta2InH
Source: Alexandria via LeMat-Bulk
Functional: SCAN
Structure: single point on PBEsol structure

Final energy ... -41.581 eV per atom

Cell lengths 6.3430, 6.3430, 6.3430 Å; angles 90.00, 90.00, 90.00 degrees
Space group Fm-3m (No. 225)
One atom of each set of equivalent atoms:
Ta 0.2500 0.2500 0.2500 x8
In 0.0000 0.0000 0.0000 x4
H 0.0000 0.0000 0.5000 x4



Compound: In2TcH
Source: Alexandria via LeMat-Bulk
Functional: SCAN
Structure: single point on PBEsol structure

Final energy ... -25.489 eV per atom

Cell lengths 6.4247, 6.4247, 6.4247 Å; angles 90.00, 90.00, 90.00 degrees
Space group Fm-3m (No. 225)
One atom of each set of equivalent atoms:
In 0.2500 0.2500 0.2500 x8
Tc 0.0000 0.0000 0.0000 x4
H 0.0000 0.0000 0.5000 x4



Compound: InTeH
Source: Alexandria via LeMat-Bulk
Functional: SCAN
Structure: single point on PBEsol structure

Final energy ... -24.935 eV per atom

Cell lengths 4.2765, 4.2775, 10.4473 Å; angles 88.51, 88.47, 60.07 degrees
Space group P-1 (No. 2)
One atom of each set of equivalent atoms:
In 0.0062 0.0045 0.3681 x2
Te 0.3215 0.3236 0.7648 x2
H 0.0432 0.0474 0.9813 x2



Compound: TiInH
Source: Alexandria via LeMat-Bulk
Functional: SCAN
Structure: single point on PBEsol structure

Final energy ... -18.008 eV per atom

Cell lengths 3.1473, 3.1473, 4.6814 Å; angles 90.00, 90.00, 120.00 degrees
Space group P-6m2 (No. 187)
One atom of each set of equivalent atoms:
Ti 0.0000 0.0000 0.0000 x1
In 0.3333 0.6667 0.5000 x1
H 0.6667 0.3333 0.0000 x1



Compound: TiInH2W
Source: Alexandria via LeMat-Bulk
Functional: SCAN
Structure: single point on PBEsol structure

Final energy ... -24.195 eV per atom

Cell lengths 3.6819, 3.6819, 5.3656 Å; angles 90.00, 90.00, 90.00 degrees
Space group P4/mmm (No. 123)
One atom of each set of equivalent atoms:
Ti 0.0000 0.0000 0.0000 x1
In 0.0000 0.0000 0.5000 x1
H 0.0000 0.5000 0.0000 x2
W 0.5000 0.5000 0.5000 x1



Compound: Y2InH2
Source: Alexandria via LeMat-Bulk
Functional: SCAN
Structure: single point on PBEsol structure

Final energy ... -20.010 eV per atom

Cell lengths 3.7345, 3.7345, 11.9825 Å; angles 90.00, 90.00, 90.00 degrees
Space group I4/mmm (No. 139)
One atom of each set of equivalent atoms:
Y 0.0000 0.0000 0.1519 x4
In 0.0000 0.0000 0.5000 x2
H 0.0000 0.5000 0.2500 x4



Compound: ZnIn3H
Source: Alexandria via LeMat-Bulk
Functional: SCAN
Structure: single point on PBEsol structure

Final energy ... -22.794 eV per atom

Cell lengths 5.1078, 5.1078, 5.1078 Å; angles 90.00, 90.00, 90.00 degrees
Space group Pm-3m (No. 221)
One atom of each set of equivalent atoms:
Zn 0.0000 0.0000 0.0000 x1
In 0.0000 0.0000 0.5000 x3
H 0.5000 0.5000 0.5000 x1



Compound: ZnInH2
Source: Alexandria via LeMat-Bulk
Functional: SCAN
Structure: single point on PBEsol structure

Final energy ... -12.733 eV per atom

Cell lengths 5.7370, 5.7370, 5.7370 Å; angles 90.00, 90.00, 90.00 degrees
Space group Fm-3m (No. 225)
One atom of each set of equivalent atoms:
Zn 0.0000 0.0000 0.0000 x4
In 0.0000 0.0000 0.5000 x4
H 0.2500 0.2500 0.2500 x8